(1)
RbY2TcSb | PBE | optimized geometry

Structure (CIF):
```
data_RbY2TcSb
_chemical_formula_sum 'Rb1 Y2 Tc1 Sb1'
_cell_length_a 5.8724
_cell_length_b 5.8724
_cell_length_c 5.0218
_cell_angle_alpha 90.00
_cell_angle_beta 90.00
_cell_angle_gamma 90.00
_space_group_name_H-M_alt 'P 4/m m m'
_space_group_IT_number 123
_space_group_name_Hall '-P 4 2'
loop_
_atom_site_label
_atom_site_type_symbol
_atom_site_fract_x
_atom_site_fract_y
_atom_site_fract_z
Rb1 Rb 0.0000 0.0000 0.0000
Y1 Y 0.0000 0.5000 0.5000
Tc1 Tc 0.5000 0.5000 0.0000
Sb1 Sb 0.5000 0.5000 0.5000
```


(2)
Rb2ZrTcSb | PBE | optimized geometry

Structure (CIF):
```
data_Rb2ZrTcSb
_chemical_formula_sum 'Rb2 Zr1 Tc1 Sb1'
_cell_length_a 6.8514
_cell_length_b 6.8514
_cell_length_c 5.5251
_cell_angle_alpha 90.00
_cell_angle_beta 90.00
_cell_angle_gamma 90.00
_space_group_name_H-M_alt 'P 4/m m m'
_space_group_IT_number 123
_space_group_name_Hall '-P 4 2'
loop_
_atom_site_label
_atom_site_type_symbol
_atom_site_fract_x
_atom_site_fract_y
_atom_site_fract_z
Rb1 Rb 0.0000 0.5000 0.0000
Zr1 Zr 0.0000 0.0000 0.5000
Tc1 Tc 0.5000 0.5000 0.5000
Sb1 Sb 0.0000 0.0000 0.0000
```


(3)
# Rb2SbTe3 (PBE, optimized geometry)
data_Rb2SbTe3
_chemical_formula_sum 'Rb16 Sb8 Te24'
_cell_length_a 8.5307
_cell_length_b 15.0946
_cell_length_c 18.2964
_cell_angle_alpha 90.00
_cell_angle_beta 90.00
_cell_angle_gamma 90.00
_space_group_name_H-M_alt 'C m c e'
_space_group_IT_number 64
_space_group_name_Hall '-C 2ac 2'
loop_
_atom_site_label
_atom_site_type_symbol
_atom_site_fract_x
_atom_site_fract_y
_atom_site_fract_z
Rb1 Rb 0.0000 0.0539 0.1674
Rb2 Rb 0.0000 0.1492 0.5679
Sb1 Sb 0.0000 0.2358 0.8465
Te1 Te 0.0000 0.0850 0.3685
Te2 Te 0.0000 0.1322 0.9708
Te3 Te 0.2500 0.1822 0.7500
# offset from the most stable computed form	0.008	eV/atom


Raw formation energy values (in eV per atom) by entry order: 0.6276; 1.3911; -0.5565.
Total energy values (in eV/cell) by entry order: -25.25; -18.02; -150.57.